This record from the Alexandria database describes an optimized crystal structure of LaSm2Pt. The functional is PBE.

Energy of formation = -0.50 eV/atom
E above lowest polymorph = 156.3 meV/atom
V = 33.0 A^3/atom
SG = No. 160

Cell: 4.043 4.043 27.963 Å, 90.00 90.00 120.00°
Atoms (fractional coordinates):
La1 0.000 0.000 0.000
La2 0.333 0.667 0.667
La3 0.667 0.333 0.333
Sm1 0.000 0.000 0.556
Sm2 0.000 0.000 0.772
Sm3 0.333 0.667 0.223
Sm4 0.333 0.667 0.439
Sm5 0.667 0.333 0.105
Sm6 0.667 0.333 0.890
Pt1 0.000 0.000 0.164
Pt2 0.333 0.667 0.830
Pt3 0.667 0.333 0.497